1.
! GGA-PBE MgPa3S2O6, relaxed; values from VASP
&SYSTEM
  ibrav = 0, nat = 12, ntyp = 4
/
ATOMIC_SPECIES
Mg 24.30 Mg.upf
Pa 231.04 Pa.upf
S 32.06 S.upf
O 16.00 O.upf
ATOMIC_POSITIONS angstrom
Mg -0.8372 2.2922 1.2544
Pa -3.4710 -0.7137 -1.0124
Pa -3.1771 1.0027 3.4778
Pa 0.2938 1.7165 4.4902
S -4.2373 -0.7106 1.6127
S -2.1170 2.7161 5.3429
O -3.4444 2.6336 2.0960
O -2.9099 -0.6281 4.8597
O -5.2857 0.8056 4.1380
O -1.0686 1.1999 2.8177
O -0.0332 -0.0366 5.6988
O -6.3211 2.0421 1.2569
CELL_PARAMETERS angstrom
-1.6744 4.5844 2.5087
-6.9419 -1.4275 -2.0249
2.2621 -1.1514 6.4717
! Magnetization, μB/cell: 1.1
! Symmetry: C2/m, No. 12
! DOS at the Fermi energy, states/eV/cell: 4.9
! Raw formation energy, meV/atom: -2816

2.
! GGA-PBE Er4Tm2Mg5, relaxed; values from VASP
&SYSTEM
  ibrav = 0, nat = 11, ntyp = 3
/
ATOMIC_SPECIES
Er 167.26 Er.upf
Tm 168.93 Tm.upf
Mg 24.30 Mg.upf
ATOMIC_POSITIONS angstrom
Er 6.1246 1.6822 8.3123
Er 6.1246 3.3222 2.7881
Er 3.0623 1.6822 2.7881
Er 9.1869 3.3222 8.3123
Tm 6.1246 0.0000 2.4437
Tm 3.0623 0.0000 8.6566
Mg 3.0623 0.0000 0.0000
Mg 1.5312 2.5022 0.0000
Mg 4.5935 2.5022 0.0000
Mg 4.5935 2.5022 5.5502
Mg 7.6558 2.5022 5.5502
CELL_PARAMETERS angstrom
6.1246 0.0000 0.0000
3.0623 5.0045 0.0000
3.0623 0.0000 11.1003
! ΔH_f (0 K), eV/atom: 0.258
! Magnetization, μB/cell: 0.0
! Symmetry: Fmmm, No. 69
! DOS at the Fermi energy, states/eV/cell: 13.4

3.
! GGA-PBE Ti4HgSe8, relaxed; values from VASP
&SYSTEM
  ibrav = 0, nat = 13, ntyp = 3
/
ATOMIC_SPECIES
Ti 47.87 Ti.upf
Hg 200.59 Hg.upf
Se 78.96 Se.upf
ATOMIC_POSITIONS angstrom
Ti -3.0731 0.5761 1.6718
Ti -5.2085 3.1968 0.6029
Ti -2.1354 2.6207 -1.0688
Ti 0.0000 0.0000 0.0000
Hg -5.0421 6.8723 3.4019
Se -4.2498 10.0589 3.7603
Se -4.8981 5.7273 0.3069
Se -5.8344 3.6856 3.0435
Se -7.9668 6.3026 1.9762
Se -7.3220 10.6392 5.4321
Se -2.7622 3.1054 1.3717
Se -2.1174 7.4420 4.8276
Se -5.1861 8.0173 6.4969
CELL_PARAMETERS angstrom
-4.2709 5.2414 -2.1377
-6.1462 1.1522 3.3435
0.3328 7.3510 5.5980
! Magnetization, μB/cell: 0.0
! Symmetry: R-3m, No. 166
! DOS at the Fermi energy, states/eV/cell: 3.2
! Raw formation energy, meV/atom: -1021

4.
! GGA-PBE CaSi2Ni, relaxed; values from VASP
&SYSTEM
  ibrav = 0, nat = 4, ntyp = 3
/
ATOMIC_SPECIES
Ni 58.69 Ni.upf
Ca 40.08 Ca.upf
Si 28.09 Si.upf
ATOMIC_POSITIONS angstrom
Ni -2.5806 -4.6362 -1.6049
Ca 0.0000 0.0000 0.0000
Si -1.2903 -2.3181 -0.8024
Si -3.8709 -6.9542 -2.4073
CELL_PARAMETERS angstrom
0.5922 -4.2500 -1.4398
-2.8995 -3.2401 1.2574
-2.8540 -1.7822 -3.0273
! Magnetization, μB/cell: 0.0
! Symmetry: Fm-3m, No. 225
! DOS at the Fermi energy, states/eV/cell: 0.0
! Raw formation energy, meV/atom: 65

5.
! GGA-PBE Ce5HfP6, relaxed; values from VASP
&SYSTEM
  ibrav = 0, nat = 12, ntyp = 3
/
ATOMIC_SPECIES
P 30.97 P.upf
Hf 178.49 Hf.upf
Ce 140.12 Ce.upf
ATOMIC_POSITIONS angstrom
P 5.4015 0.6106 3.2844
P 2.6964 3.5652 4.5131
P 2.0720 1.4242 1.0604
P 6.4912 4.5727 3.3822
P 5.9838 2.4937 6.8812
P 3.2787 5.4483 8.1099
Hf 0.0000 0.0000 0.0000
Ce 3.8009 1.1172 5.6870
Ce 0.6041 1.9683 3.4398
Ce 4.2816 2.9984 2.2213
Ce 1.2040 3.9206 6.9092
Ce 4.8793 4.9417 5.7073
CELL_PARAMETERS angstrom
6.8721 0.1700 1.0453
1.6911 5.8268 3.3973
0.1170 0.0621 6.9517
! ΔH_f (0 K), eV/atom: -1.458
! Magnetization, μB/cell: 2.0
! Symmetry: C2/m, No. 12
! DOS at the Fermi energy, states/eV/cell: 18.3

6.
! GGA-PBE Pr2TmI, relaxed; values from VASP
&SYSTEM
  ibrav = 0, nat = 4, ntyp = 3
/
ATOMIC_SPECIES
Pr 140.91 Pr.upf
I 126.90 I.upf
Tm 168.93 Tm.upf
ATOMIC_POSITIONS angstrom
Pr -2.4709 4.2317 5.2976
Pr -0.8536 1.4619 1.8301
I -1.2343 0.9201 5.3024
Tm 0.4279 -1.9266 1.7386
CELL_PARAMETERS angstrom
-2.0059 -2.8361 1.3298
2.8618 -1.0172 2.1473
-3.3245 5.6935 7.1276
! Magnetization, μB/cell: 0.0
! Symmetry: P4/mmm, No. 123
! E above lowest polymorph, kJ/mol of atoms: 4.6
! DOS at the Fermi energy, states/eV/cell: 3.9
! Raw formation energy, meV/atom: -349

7.
! GGA-PBE CsYSb2Te, relaxed; values from VASP
&SYSTEM
  ibrav = 0, nat = 5, ntyp = 4
/
ATOMIC_SPECIES
Cs 132.91 Cs.upf
Sb 121.76 Sb.upf
Te 127.60 Te.upf
Y 88.91 Y.upf
ATOMIC_POSITIONS angstrom
Cs 2.8892 -3.3955 -2.5772
Sb 2.3036 0.6904 -1.7227
Sb -1.0009 -1.8503 -2.0799
Te 1.5865 -2.2356 1.2254
Y 0.0000 0.0000 0.0000
CELL_PARAMETERS angstrom
-2.0017 -3.7006 -4.1598
4.6072 1.3809 -3.4455
3.1730 -4.4713 2.4508
! Magnetization, μB/cell: 0.0
! Symmetry: P4/mmm, No. 123
! E above lowest polymorph, kJ/mol of atoms: 0.0
! DOS at the Fermi energy, states/eV/cell: 5.9
! Raw formation energy, meV/atom: -391

8.
! GGA-PBE TaIr2Br, relaxed; values from VASP
&SYSTEM
  ibrav = 0, nat = 4, ntyp = 3
/
ATOMIC_SPECIES
Ir 192.22 Ir.upf
Br 79.90 Br.upf
Ta 180.95 Ta.upf
ATOMIC_POSITIONS angstrom
Ir 0.6706 0.2477 0.0000
Ir 2.5019 -0.9505 1.2158
Br 4.0335 2.3769 1.2035
Ta 6.3756 2.3550 0.0000
CELL_PARAMETERS angstrom
7.5280 0.0190 0.0123
5.7328 4.8791 -0.0123
-6.3094 -3.3180 2.4193
! Magnetization, μB/cell: 0.0
! Symmetry: Imm2, No. 44
! E above lowest polymorph, kJ/mol of atoms: 35.0
! DOS at the Fermi energy, states/eV/cell: 3.7
! Raw formation energy, meV/atom: 314

9.
! GGA-PBE NaAuSe4, relaxed; values from VASP
&SYSTEM
  ibrav = 0, nat = 24, ntyp = 3
/
ATOMIC_SPECIES
Na 22.99 Na.upf
Au 196.97 Au.upf
Se 78.96 Se.upf
ATOMIC_POSITIONS angstrom
Na 0.0000 1.8513 2.6945
Na 2.5614 5.5538 5.7861
Na 0.0000 5.5538 14.2666
Na 2.5614 1.8513 11.1750
Au 0.0000 1.8513 7.0715
Au 2.5614 5.5538 1.4090
Au 0.0000 5.5538 9.8896
Au 2.5614 1.8513 15.5521
Se 1.4622 3.9824 8.1110
Se 1.0992 0.2799 0.3696
Se 3.6605 7.1252 8.1110
Se 4.0236 3.4226 0.3696
Se 3.6606 3.4226 8.8501
Se 4.0236 7.1252 16.5915
Se 1.4622 0.2799 8.8501
Se 1.0992 3.9824 16.5915
Se 1.6187 1.1526 5.1580
Se 0.9427 4.8551 3.3226
Se 3.5041 2.5499 5.1580
Se 4.1800 6.2524 3.3226
Se 3.5041 6.2524 11.8031
Se 4.1800 2.5499 13.6385
Se 1.6186 4.8551 11.8031
Se 0.9427 1.1526 13.6385
CELL_PARAMETERS angstrom
5.1228 0.0000 0.0000
0.0000 7.4051 0.0000
0.0000 0.0000 16.9611
! Magnetization, μB/cell: 0.0
! Symmetry: Pbcn, No. 60
! E above lowest polymorph, kJ/mol of atoms: 0.0
! DOS at the Fermi energy, states/eV/cell: 9.6
! Raw formation energy, meV/atom: -217

10.
! GGA-PBE Sr2LaPt, relaxed; values from VASP
&SYSTEM
  ibrav = 0, nat = 8, ntyp = 3
/
ATOMIC_SPECIES
Sr 87.62 Sr.upf
La 138.91 La.upf
Pt 195.08 Pt.upf
ATOMIC_POSITIONS angstrom
Sr 3.1893 3.5410 13.7017
Sr 1.0598 1.4258 4.5459
Sr 3.1731 3.5439 1.4951
Sr 1.0760 1.4288 16.7525
La 1.0688 1.4187 10.5419
La 3.1802 3.5338 7.7057
Pt 1.0649 1.4187 7.5640
Pt 3.1841 3.5338 10.6836
CELL_PARAMETERS angstrom
4.2304 0.0000 -0.0042
0.0000 4.2303 0.0000
0.0186 0.0000 18.2518
! ΔH_f (0 K), eV/atom: -0.606
! Magnetization, μB/cell: 0.0
! Symmetry: Pmn2_1, No. 31
! E above lowest polymorph, kJ/mol of atoms: 0.0
! DOS at the Fermi energy, states/eV/cell: 5.9

11.
! GGA-PBE InNiPCl2, relaxed; values from VASP
&SYSTEM
  ibrav = 0, nat = 5, ntyp = 4
/
ATOMIC_SPECIES
Ni 58.69 Ni.upf
Cl 35.45 Cl.upf
P 30.97 P.upf
In 114.82 In.upf
ATOMIC_POSITIONS angstrom
Ni 0.0000 0.0000 0.0000
Cl 0.4240 -2.0720 0.9228
Cl -1.2722 -0.9945 -1.6483
P -1.9497 0.2138 1.3758
In -2.7978 -2.8527 0.6503
CELL_PARAMETERS angstrom
-2.5445 -1.9890 -3.2967
0.8481 -4.1440 1.8456
-3.8993 0.4275 2.7517
! Magnetization, μB/cell: 0.1
! Symmetry: P4/mmm, No. 123
! E above lowest polymorph, kJ/mol of atoms: 0.0
! DOS at the Fermi energy, states/eV/cell: 4.3
! Raw formation energy, meV/atom: -62

12.
! GGA-PBE NaLiBiPb, relaxed; values from VASP
&SYSTEM
  ibrav = 0, nat = 4, ntyp = 4
/
ATOMIC_SPECIES
Pb 207.20 Pb.upf
Na 22.99 Na.upf
Bi 208.98 Bi.upf
Li 6.94 Li.upf
ATOMIC_POSITIONS angstrom
Pb 2.6374 1.5227 1.0767
Na 5.2748 3.0454 2.1534
Bi 7.9121 4.5681 3.2301
Li 0.0000 0.0000 0.0000
CELL_PARAMETERS angstrom
5.2748 0.0000 0.0000
2.6374 4.5681 0.0000
2.6374 1.5227 4.3068
! ΔH_f (0 K), eV/atom: -0.251
! Magnetization, μB/cell: 0.0
! Symmetry: F-43m, No. 216
! E above lowest polymorph, kJ/mol of atoms: 0.0
! DOS at the Fermi energy, states/eV/cell: 1.7

Look up the DOS at the Fermi energy of the third one.
3.2 states/eV/cell